[1]
The following is a GGA-PBE calculation of a geometry-optimized PmTe2I8 structure, from Alexandria via LeMat-Bulk.

Formation energy from raw total energies ... -0.434 eV/atom
Density of states at the Fermi level ... 15.79 states/eV per cell

Structure (CIF):
```
data_PmTe2I8
_cell_length_a 15.8699
_cell_length_b 9.0370
_cell_length_c 8.4458
_cell_angle_alpha 90.00
_cell_angle_beta 112.53
_cell_angle_gamma 90.00
_symmetry_space_group_name_H-M 'C 1 2/m 1'
_symmetry_Int_Tables_number 12
loop_
_symmetry_equiv_pos_as_xyz
'x,y,z'
'-x,-y,-z'
'-x,y,-z'
'x,-y,z'
'x+1/2,y+1/2,z'
'-x+1/2,-y+1/2,-z'
'-x+1/2,y+1/2,-z'
'x+1/2,-y+1/2,z'
loop_
_atom_site_label
_atom_site_fract_x
_atom_site_fract_y
_atom_site_fract_z
Pm1 0.0000 0.0000 0.0000
Te1 0.1391 0.0000 0.5499
I1 0.0454 0.2318 0.7811
I2 0.1973 0.5000 0.1817
I3 0.2069 0.0000 0.2840
```


[2]
The following is a GGA-PBE calculation of a geometry-optimized PmNdNi10 structure, from Alexandria via LeMat-Bulk.

Density of states at the Fermi level ... 13.75 states/eV per cell
Energy relative to the elements ... -282 meV per atom

Structure (CIF):
```
data_PmNdNi10
_cell_length_a 3.9629
_cell_length_b 4.9580
_cell_length_c 8.5764
_cell_angle_alpha 90.00
_cell_angle_beta 90.00
_cell_angle_gamma 90.00
_symmetry_space_group_name_H-M 'P m m m'
_symmetry_Int_Tables_number 47
loop_
_symmetry_equiv_pos_as_xyz
'x,y,z'
'-x,-y,-z'
'-x,-y,z'
'x,y,-z'
'x,-y,-z'
'-x,y,z'
'-x,y,-z'
'x,-y,z'
loop_
_atom_site_label
_atom_site_fract_x
_atom_site_fract_y
_atom_site_fract_z
Pm1 0.0000 0.0000 0.0000
Nd1 0.0000 0.5000 0.5000
Ni1 0.0000 0.0000 0.3324
Ni2 0.0000 0.5000 0.1658
Ni3 0.5000 0.0000 0.5000
Ni4 0.5000 0.2496 0.2492
Ni5 0.5000 0.5000 0.0000
```


[3]
The following is a GGA-PBE calculation of a geometry-optimized AcGe3Au4 structure, from Alexandria via LeMat-Bulk.

Density of states at the Fermi level ... 3.04 states/eV per cell
Energy relative to the elements ... -361 meV per atom

Structure (CIF):
```
data_AcGe3Au4
_cell_length_a 4.6705
_cell_length_b 4.6705
_cell_length_c 7.9925
_cell_angle_alpha 90.00
_cell_angle_beta 90.00
_cell_angle_gamma 90.00
_symmetry_space_group_name_H-M 'P 4/m m m'
_symmetry_Int_Tables_number 123
_symmetry_space_group_name_Hall '-P 4 2'
loop_
_atom_site_label
_atom_site_fract_x
_atom_site_fract_y
_atom_site_fract_z
Ac1 0.0000 0.0000 0.0000
Ge1 0.0000 0.0000 0.5000
Ge2 0.5000 0.5000 0.1607
Au1 0.0000 0.5000 0.3119
```


[4]
The following is a GGA-PBE calculation of a geometry-optimized Sc2AgRh structure, from Alexandria via LeMat-Bulk.

Density of states at the Fermi level ... 24.16 states/eV per cell
Energy relative to the elements ... -305 meV per atom

Structure (CIF):
```
data_Sc2AgRh
_cell_length_a 6.5924
_cell_length_b 6.5924
_cell_length_c 6.5924
_cell_angle_alpha 90.00
_cell_angle_beta 90.00
_cell_angle_gamma 90.00
_symmetry_space_group_name_H-M 'F -4 3 m'
_symmetry_Int_Tables_number 216
_symmetry_space_group_name_Hall 'F -4 2 3'
loop_
_atom_site_label
_atom_site_fract_x
_atom_site_fract_y
_atom_site_fract_z
Sc1 0.0000 0.0000 0.0000
Sc2 0.2500 0.2500 0.2500
Ag1 0.0000 0.0000 0.5000
Rh1 0.2500 0.2500 0.7500
```


[5]
The following is a GGA-PBE calculation of a geometry-optimized MnGeRu2Pt structure, from Alexandria via LeMat-Bulk.

Density of states at the Fermi level ... 7.97 states/eV per cell
Energy relative to the elements ... 1380 meV per atom

Structure (CIF):
```
data_MnGeRu2Pt
_cell_length_a 4.5022
_cell_length_b 4.5022
_cell_length_c 4.5108
_cell_angle_alpha 90.00
_cell_angle_beta 90.00
_cell_angle_gamma 90.00
_symmetry_space_group_name_H-M 'P 4/m m m'
_symmetry_Int_Tables_number 123
_symmetry_space_group_name_Hall '-P 4 2'
loop_
_atom_site_label
_atom_site_fract_x
_atom_site_fract_y
_atom_site_fract_z
Mn1 0.0000 0.0000 0.0000
Ge1 0.5000 0.5000 0.5000
Ru1 0.0000 0.5000 0.5000
Pt1 0.5000 0.5000 0.0000
```


[6]
The following is a GGA-PBE calculation of a geometry-optimized Zn2AgIr structure, from Alexandria via LeMat-Bulk.

Density of states at the Fermi level ... 6.94 states/eV per cell
Energy relative to the elements ... 108 meV per atom

Structure (CIF):
```
data_Zn2AgIr
_cell_length_a 6.2547
_cell_length_b 6.2547
_cell_length_c 6.2547
_cell_angle_alpha 90.00
_cell_angle_beta 90.00
_cell_angle_gamma 90.00
_symmetry_space_group_name_H-M 'F -4 3 m'
_symmetry_Int_Tables_number 216
_symmetry_space_group_name_Hall 'F -4 2 3'
loop_
_atom_site_label
_atom_site_fract_x
_atom_site_fract_y
_atom_site_fract_z
Zn1 0.0000 0.0000 0.0000
Zn2 0.2500 0.2500 0.2500
Ag1 0.0000 0.0000 0.5000
Ir1 0.2500 0.2500 0.7500
```


[7]
The following is a GGA-PBE calculation of a geometry-optimized GaSbF6 structure, from Alexandria via LeMat-Bulk.

Formation energy from raw total energies ... -2.441 eV/atom
Density of states at the Fermi level ... 0.00 states/eV per cell

Structure (CIF):
```
data_GaSbF6
_cell_length_a 8.8436
_cell_length_b 5.9524
_cell_length_c 5.3902
_cell_angle_alpha 90.00
_cell_angle_beta 120.54
_cell_angle_gamma 90.00
_symmetry_space_group_name_H-M 'C 1 2/m 1'
_symmetry_Int_Tables_number 12
loop_
_symmetry_equiv_pos_as_xyz
'x,y,z'
'-x,-y,-z'
'-x,y,-z'
'x,-y,z'
'x+1/2,y+1/2,z'
'-x+1/2,-y+1/2,-z'
'-x+1/2,y+1/2,-z'
'x+1/2,-y+1/2,z'
loop_
_atom_site_label
_atom_site_fract_x
_atom_site_fract_y
_atom_site_fract_z
Ga1 0.0000 0.0000 0.0000
Sb1 0.0000 0.5000 0.5000
F1 0.0622 0.2290 0.2888
F2 0.2399 0.0000 0.0935
```


[8]
The following is a GGA-PBE calculation of a geometry-optimized Li2InFePd structure, from Alexandria via LeMat-Bulk.

Density of states at the Fermi level ... 3.85 states/eV per cell
Energy relative to the elements ... 290 meV per atom

Structure (CIF):
```
data_Li2InFePd
_cell_length_a 4.5408
_cell_length_b 4.5408
_cell_length_c 4.8376
_cell_angle_alpha 90.00
_cell_angle_beta 90.00
_cell_angle_gamma 90.00
_symmetry_space_group_name_H-M 'P 4/m m m'
_symmetry_Int_Tables_number 123
_symmetry_space_group_name_Hall '-P 4 2'
loop_
_atom_site_label
_atom_site_fract_x
_atom_site_fract_y
_atom_site_fract_z
Li1 0.0000 0.5000 0.0000
In1 0.0000 0.0000 0.5000
Fe1 0.5000 0.5000 0.5000
Pd1 0.5000 0.5000 0.0000
```


no.,mass density (Mg/m³)
1,4.202
2,8.634
3,11.742
4,6.971
5,9.531
6,11.697
7,4.151
8,4.844